1.
A geometry-optimized BTeNF2 structure, computed with GGA-PBE.

For the uncorrected formation energy, the calculation gives 581 meV per atom. The excess energy over the best structure of this formula in the dataset is 108.2 kJ/mol of atoms. For the magnetic moment, the calculation gives 0.000 μB/cell. The calculated total energy is -3.797 eV/atom.

The structure in CIF format:
```
data_BTeNF2
_cell_length_a 4.4748
_cell_length_b 4.4748
_cell_length_c 4.1177
_cell_angle_alpha 90.00
_cell_angle_beta 90.00
_cell_angle_gamma 90.00
_symmetry_space_group_name_H-M 'P 4/m m m'
_symmetry_Int_Tables_number 123
_symmetry_space_group_name_Hall '-P 4 2'
loop_
_atom_site_label
_atom_site_type_symbol
_atom_site_fract_x
_atom_site_fract_y
_atom_site_fract_z
B1 B 0.0000 0.0000 0.0000
Te1 Te 0.5000 0.5000 0.5000
N1 N 0.5000 0.5000 0.0000
F1 F 0.0000 0.5000 0.5000
```

***

2.
A geometry-optimized Ti2Al3Tc4 structure, computed with GGA-PBE.

For the magnetic moment, the calculation gives 0.001 μB/cell. The calculated total energy is -8.032 eV/atom. As for the formation enthalpy at 0 K: -0.423 eV/atom.

The structure in CIF format:
```
data_Ti2Al3Tc4
_cell_length_a 4.3911
_cell_length_b 4.3911
_cell_length_c 7.9729
_cell_angle_alpha 90.00
_cell_angle_beta 90.00
_cell_angle_gamma 120.00
_symmetry_space_group_name_H-M 'P -3 m 1'
_symmetry_Int_Tables_number 164
_symmetry_space_group_name_Hall '-P 3 2"'
loop_
_atom_site_label
_atom_site_type_symbol
_atom_site_fract_x
_atom_site_fract_y
_atom_site_fract_z
Ti1 Ti 0.3333 0.6667 0.2910
Al1 Al 0.0000 0.0000 0.5000
Al2 Al 0.3333 0.6667 0.9372
Tc1 Tc 0.0000 0.0000 0.1573
Tc2 Tc 0.3333 0.6667 0.6145
```

***

3.
A geometry-optimized PRhAu3 structure, computed with GGA-PBE.

The excess energy over the best structure of this formula in the dataset is 0.0 kJ/mol of atoms. For the magnetic moment, the calculation gives 0.000 μB/cell. The calculated total energy is -3.950 eV/atom. As for the formation enthalpy at 0 K: 0.569 eV/atom.

The structure in CIF format:
```
data_PRhAu3
_cell_length_a 4.6257
_cell_length_b 4.6257
_cell_length_c 4.6257
_cell_angle_alpha 90.00
_cell_angle_beta 90.00
_cell_angle_gamma 90.00
_symmetry_space_group_name_H-M 'P m -3 m'
_symmetry_Int_Tables_number 221
_symmetry_space_group_name_Hall '-P 4 2 3'
loop_
_atom_site_label
_atom_site_type_symbol
_atom_site_fract_x
_atom_site_fract_y
_atom_site_fract_z
P1 P 0.0000 0.0000 0.0000
Rh1 Rh 0.5000 0.5000 0.5000
Au1 Au 0.0000 0.0000 0.5000
```